A geometry-optimized K2AgW structure. Source: Alexandria, functional GGA-PBEsol.

It has space group F-43m (No. 216), with a = 7.6151 Å, b = 7.6151 Å, c = 7.6151 Å, α = 90.00°, β = 90.00° and γ = 90.00°. The inequivalent atoms are K at (0.0000, 0.0000, 0.0000), K at (0.2500, 0.2500, 0.2500), Ag at (0.0000, 0.0000, 0.5000) and W at (0.2500, 0.2500, 0.7500).

The energy of formation from the pure elements is 1.5913 eV/atom. The density of states at the Fermi level is 0.349 states/eV/atom.